No. 1
! CaScAs2Au, relaxed, DFT PBE; values from VASP
&SYSTEM
  ibrav = 0, nat = 5, ntyp = 4
/
ATOMIC_SPECIES
Sc 44.96 Sc.upf
Au 196.97 Au.upf
As 74.92 As.upf
Ca 40.08 Ca.upf
CELL_PARAMETERS angstrom
-0.4090 -3.4972 3.6247
4.0567 -2.6308 -2.0805
3.1940 2.6318 2.8997
ATOMIC_POSITIONS crystal
Sc 0.0000 0.0000 0.0000
Au 0.0000 0.5000 0.0000
As 0.5000 0.0000 0.0000
As 0.0000 0.0000 0.5000
Ca 0.5000 0.5000 0.5000
! Formation enthalpy at 0 K in eV per atom: -0.4460
! Space group: P4/mmm (123)
! DFT total energy in eV per atom: -4.628

=====

No. 2
! CaAsAuSe2, relaxed, DFT PBE; values from VASP
&SYSTEM
  ibrav = 0, nat = 5, ntyp = 4
/
ATOMIC_SPECIES
Se 78.96 Se.upf
Au 196.97 Au.upf
Ca 40.08 Ca.upf
As 74.92 As.upf
CELL_PARAMETERS angstrom
-3.9590 1.1890 -3.3139
-2.8926 -3.9413 2.0416
-1.8311 3.0424 3.2790
ATOMIC_POSITIONS crystal
Se 0.0000 0.5000 0.0000
Se 0.5000 0.0000 0.0000
Au 0.0000 0.0000 0.0000
Ca 0.5000 0.5000 0.5000
As 0.0000 0.0000 0.5000
! Space group: P4/mmm (123)
! Relative energy among the computed polymorphs in eV/atom: 0.000
! Formation energy from raw total energies in eV/atom: -0.16
! DFT total energy in eV per atom: -3.538

=====

No. 3
! CaAsAuSe2, relaxed, DFT PBE; values from VASP
&SYSTEM
  ibrav = 0, nat = 5, ntyp = 4
/
ATOMIC_SPECIES
Se 78.96 Se.upf
Au 196.97 Au.upf
As 74.92 As.upf
Ca 40.08 Ca.upf
CELL_PARAMETERS angstrom
5.3442 0.0000 0.0000
0.0000 5.3442 0.0000
0.0000 0.0000 5.4400
ATOMIC_POSITIONS crystal
Se 0.5000 0.0000 0.0000
Se 0.0000 0.5000 0.0000
Au 0.5000 0.5000 0.5000
As 0.0000 0.0000 0.5000
Ca 0.0000 0.0000 0.0000
! Space group: P4/mmm (123)
! Relative energy among the computed polymorphs in eV/atom: 0.740
! Formation energy from raw total energies in eV/atom: 0.58
! DFT total energy in eV per atom: -2.798

=====

No. 4
! Ca2SiAsAu6, relaxed, DFT PBE; values from VASP
&SYSTEM
  ibrav = 0, nat = 20, ntyp = 4
/
ATOMIC_SPECIES
Ca 40.08 Ca.upf
Au 196.97 Au.upf
As 74.92 As.upf
Si 28.09 Si.upf
CELL_PARAMETERS angstrom
5.7211 0.0000 0.0000
0.0000 9.2264 0.0000
0.0000 0.0000 8.5152
ATOMIC_POSITIONS crystal
Ca 0.5000 0.7393 0.7466
Ca 0.0000 0.2607 0.2466
Ca 0.5000 0.7393 0.2534
Ca 0.0000 0.2607 0.7534
Au 0.5000 0.1278 0.2379
Au 0.2477 0.5293 0.0000
Au 0.7573 0.0269 0.5000
Au 0.7427 0.9731 0.0000
Au 0.5000 0.1278 0.7621
Au 0.7523 0.5293 0.0000
Au 0.2573 0.9731 0.0000
Au 0.7477 0.4707 0.5000
Au 0.0000 0.8722 0.7379
Au 0.2523 0.4707 0.5000
Au 0.2427 0.0269 0.5000
Au 0.0000 0.8722 0.2621
As 0.5000 0.3000 0.0000
As 0.0000 0.7000 0.5000
Si 0.5000 0.2560 0.5000
Si 0.0000 0.7440 0.0000
! Space group: Pmmn (59)
! Formation energy from raw total energies in eV/atom: -0.44
! DFT total energy in eV per atom: -3.815

=====

No. 5
! Ca3Si2As2Au4, relaxed, DFT PBE; values from VASP
&SYSTEM
  ibrav = 0, nat = 11, ntyp = 4
/
ATOMIC_SPECIES
Ca 40.08 Ca.upf
Si 28.09 Si.upf
As 74.92 As.upf
Au 196.97 Au.upf
CELL_PARAMETERS angstrom
4.5684 0.0000 0.0000
0.0000 4.5684 0.0000
-2.2842 -2.2842 12.9282
ATOMIC_POSITIONS crystal
Ca 0.0000 0.0000 0.0000
Ca 0.1867 0.1867 0.3735
Ca 0.8133 0.8133 0.6265
Si 0.3896 0.3896 0.7792
Si 0.6104 0.6104 0.2208
As 0.6993 0.6993 0.3986
As 0.3007 0.3007 0.6014
Au 0.9207 0.4207 0.8414
Au 0.0793 0.5793 0.1586
Au 0.4207 0.9207 0.8414
Au 0.5793 0.0793 0.1586
! Space group: I4/mmm (139)
! Formation energy from raw total energies in eV/atom: -0.54
! DFT total energy in eV per atom: -4.113

=====

No. 6
! Ca3Si2AsAu6, relaxed, DFT PBE; values from VASP
&SYSTEM
  ibrav = 0, nat = 12, ntyp = 4
/
ATOMIC_SPECIES
Ca 40.08 Ca.upf
Au 196.97 Au.upf
Si 28.09 Si.upf
As 74.92 As.upf
CELL_PARAMETERS angstrom
6.1589 0.0000 0.0000
-3.0795 5.3338 0.0000
0.0000 0.0000 9.1432
ATOMIC_POSITIONS crystal
Ca 0.3333 0.6667 0.7776
Ca 0.0000 0.0000 0.0000
Ca 0.6667 0.3333 0.2224
Au 0.1625 0.8375 0.2833
Au 0.1625 0.3249 0.2833
Au 0.8375 0.6751 0.7167
Au 0.8375 0.1625 0.7167
Au 0.6751 0.8375 0.2833
Au 0.3249 0.1625 0.7167
Si 0.3333 0.6667 0.1080
Si 0.6667 0.3333 0.8920
As 0.0000 0.0000 0.5000
! Space group: P-3m1 (164)
! Formation energy from raw total energies in eV/atom: -0.42
! DFT total energy in eV per atom: -3.850